[1]
Entry from the Alexandria database: crystalline Ca4ZnP at its relaxed geometry (PBE).

abc: 6.4774 6.4774 6.4774
angles: 60.00 60.00 60.00
Element x y z (fractional)
Ca (0.1241, 0.1241, 0.1241)
Ca (0.1241, 0.1241, 0.6278)
Ca (0.1241, 0.6278, 0.1241)
Ca (0.6278, 0.1241, 0.1241)
Zn (0.5000, 0.5000, 0.5000)
P (0.7500, 0.7500, 0.7500)

The calculation puts the energy relative to the elements at 0.456 eV/atom.

[2]
Entry from the Alexandria database: crystalline Tb4DyEr2 at its relaxed geometry (PBE).

abc: 16.6560 3.5077 8.6844
angles: 90.00 119.52 90.00
Element x y z (fractional)
Tb (0.1397, 0.0000, 0.3335)
Tb (0.2041, 0.0000, 0.7937)
Tb (0.2959, 0.5000, 0.2063)
Tb (0.3603, 0.5000, 0.6665)
Tb (0.6397, 0.5000, 0.3335)
Tb (0.7041, 0.5000, 0.7937)
Tb (0.7959, 0.0000, 0.2063)
Tb (0.8603, 0.0000, 0.6665)
Dy (0.0000, 0.5000, 0.5000)
Dy (0.5000, 0.0000, 0.5000)
Er (0.0704, 0.5000, 0.9297)
Er (0.4296, 0.0000, 0.0703)
Er (0.5704, 0.0000, 0.9297)
Er (0.9296, 0.5000, 0.0703)

The calculation puts the energy relative to the elements at 0.037 eV/atom. The energy relative to the lowest polymorph listed for this composition comes out at 0 meV per atom.

[3]
Entry from the Alexandria database: crystalline ScUIrRh at its relaxed geometry (PBE).

abc: 6.6832 6.6832 6.6832
angles: 90.00 90.00 90.00
Element x y z (fractional)
Sc (0.0000, 0.0000, 0.0000)
Sc (0.0000, 0.5000, 0.5000)
Sc (0.5000, 0.0000, 0.5000)
Sc (0.5000, 0.5000, 0.0000)
U (0.0000, 0.0000, 0.5000)
U (0.0000, 0.5000, 0.0000)
U (0.5000, 0.0000, 0.0000)
U (0.5000, 0.5000, 0.5000)
Ir (0.2500, 0.2500, 0.7500)
Ir (0.2500, 0.7500, 0.2500)
Ir (0.7500, 0.2500, 0.2500)
Ir (0.7500, 0.7500, 0.7500)
Rh (0.2500, 0.2500, 0.2500)
Rh (0.2500, 0.7500, 0.7500)
Rh (0.7500, 0.2500, 0.7500)
Rh (0.7500, 0.7500, 0.2500)

The calculation puts the energy relative to the elements at -0.644 eV/atom.

[4]
Entry from the Alexandria database: crystalline Nd5PuZn4 at its relaxed geometry (PBE).

abc: 3.6656 3.6656 19.6569
angles: 90.00 90.00 90.00
Element x y z (fractional)
Nd (0.0000, 0.0000, 0.0000)
Nd (0.0000, 0.0000, 0.1884)
Nd (0.0000, 0.0000, 0.3760)
Nd (0.0000, 0.0000, 0.6240)
Nd (0.0000, 0.0000, 0.8116)
Pu (0.5000, 0.5000, 0.5000)
Zn (0.5000, 0.5000, 0.0945)
Zn (0.5000, 0.5000, 0.2847)
Zn (0.5000, 0.5000, 0.7153)
Zn (0.5000, 0.5000, 0.9055)

The calculation puts the energy relative to the elements at -0.198 eV/atom.

[5]
Entry from the Alexandria database: crystalline CdCu2Ir at its relaxed geometry (PBE).

abc: 2.9626 4.4078 8.8751
angles: 90.00 90.00 90.00
Element x y z (fractional)
Cd (0.0000, 0.0000, 0.0000)
Cd (0.5000, 0.5000, 0.5000)
Cu (0.0000, 0.0000, 0.4815)
Cu (0.0000, 0.5000, 0.7540)
Cu (0.5000, 0.0000, 0.2540)
Cu (0.5000, 0.5000, 0.9815)
Ir (0.0000, 0.5000, 0.2286)
Ir (0.5000, 0.0000, 0.7286)

The calculation puts the energy relative to the elements at 0.149 eV/atom.

[6]
Entry from the Alexandria database: crystalline Pm2CdCu5Ni2 at its relaxed geometry (PBE).

abc: 9.2888 9.2888 3.8692
angles: 90.00 90.00 90.00
Element x y z (fractional)
Pm (0.1810, 0.3190, 0.0000)
Pm (0.3190, 0.8190, 0.0000)
Pm (0.6810, 0.1810, 0.0000)
Pm (0.8190, 0.6810, 0.0000)
Cd (0.0000, 0.0000, 0.0000)
Cd (0.5000, 0.5000, 0.0000)
Cu (0.0000, 0.5000, 0.5000)
Cu (0.0617, 0.7812, 0.5000)
Cu (0.2188, 0.0617, 0.5000)
Cu (0.2812, 0.5617, 0.5000)
Cu (0.4383, 0.2812, 0.5000)
Cu (0.5000, 0.0000, 0.5000)
Cu (0.5617, 0.7188, 0.5000)
Cu (0.7188, 0.4383, 0.5000)
Cu (0.7812, 0.9383, 0.5000)
Cu (0.9383, 0.2188, 0.5000)
Ni (0.1132, 0.6132, 0.0000)
Ni (0.3868, 0.1132, 0.0000)
Ni (0.6132, 0.8868, 0.0000)
Ni (0.8868, 0.3868, 0.0000)

The calculation puts the energy relative to the elements at -0.147 eV/atom.

no.,total energy (eV/atom),DOS(E_F) (states/eV/f.u.)
1,-1.9926,7.152
2,-4.5701,10.997
3,-9.1023,4.904
4,-4.5251,17.093
5,-4.3436,2.969
6,-4.3930,5.333